CsFeBiO4 | PBE+U | optimized geometry

Computed properties:
Uncorrected energy   -5.55 eV/atom

Lattice parameters (Å, degrees): 6.0112 6.1201 8.2968 90.00 112.85 90.00
Last column: nearest neighbours and their distance in Å.
Positions (direct):
O 0.9674 0.4751 0.6604  1 Fe 1.92
O 0.5442 0.2500 0.7809  1 Fe 1.88
O 0.4850 0.2500 0.4324  1 Fe 1.86
O 0.0326 0.9751 0.3396  1 Fe 1.92
O 0.4558 0.7500 0.2191  1 Fe 1.88
O 0.0326 0.5249 0.3396  1 Fe 1.92
O 0.5150 0.7500 0.5676  1 Fe 1.86
O 0.9674 0.0249 0.6604  1 Fe 1.92
Fe 0.2612 0.7500 0.3500  4 O 1.86-1.92
Fe 0.7388 0.2500 0.6500  4 O 1.86-1.92
Cs 0.6805 0.7500 0.9392  2 O 2.85-3.11
Cs 0.3195 0.2500 0.0608  2 O 2.85-3.11
Bi 0.1951 0.2500 0.5333  6 O 2.21-2.45
Bi 0.8049 0.7500 0.4667  6 O 2.21-2.45